(1)
DFT (GGA-PBE) results for a geometry-optimized Li8GeAs2 structure.

Cell lengths 4.3657, 7.2108, 6.9341 Å; angles 121.37, 108.35, 90.00 degrees
With the nearest neighbours (Å) after each atom.
Fractional positions:
1 Li 0.3423 0.5478 0.6845  3 As 2.62-2.68, 3 Li 2.63-2.79, 1 Ge 2.74
2 Li 0.6585 0.8643 0.3170  3 As 2.61-2.69, 3 Li 2.64-2.79, 1 Ge 2.75
3 Li 0.8562 0.8549 0.7126  4 Li 2.63-2.70, 2 Ge 2.70, 2 As 2.76
4 Li 0.9995 0.3028 0.9989  2 As 2.65, 7 Li 2.70-2.84
5 Li 0.1438 0.1451 0.2874  4 Li 2.63-2.70, 2 Ge 2.70, 2 As 2.76
6 Li 0.3415 0.1357 0.6830  3 As 2.61-2.69, 3 Li 2.64-2.79, 1 Ge 2.75
7 Li 0.6577 0.4522 0.3155  3 As 2.62-2.68, 3 Li 2.63-2.79, 1 Ge 2.74
8 Li 0.0005 0.6972 0.0011  2 As 2.65, 7 Li 2.70-2.84
9 Ge 0.5000 0.0000 0.0000  8 Li 2.70-2.75
10 As 0.7965 0.2973 0.5936  10 Li 2.61-2.76
11 As 0.2035 0.7027 0.4064  10 Li 2.61-2.76

SG = C2/m, No. 12
Total DFT energy (no corrections) = -3.197 eV/atom
Total moment = 0.00 μB per formula unit
E_form = -0.54 eV per atom

---

(2)
DFT (GGA-PBE) results for a geometry-optimized Li2MgGeAs structure.

Cell lengths 4.7150, 4.7150, 5.1644 Å; angles 90.00, 90.00, 90.00 degrees
With the nearest neighbours (Å) after each atom.
Fractional positions:
1 Mg 0.5000 0.5000 0.5000  4 As 3.33, 8 Li 3.50
2 As 0.0000 0.0000 0.5000  2 Ge 2.58
3 Ge 0.0000 0.0000 0.0000  4 Li 2.36, 2 As 2.58
4 Li 0.0000 0.5000 0.0000  2 Ge 2.36
5 Li 0.5000 0.0000 0.0000  2 Ge 2.36

SG = P4/mmm, No. 123
Total DFT energy (no corrections) = -2.792 eV/atom
Total moment = 0.00 μB per formula unit
E_form = 0.15 eV per atom

---

(3)
DFT (GGA-PBE) results for a geometry-optimized NaLiGeAs2 structure.

Cell lengths 4.0624, 7.1627, 8.5518 Å; angles 77.61, 76.26, 73.53 degrees
With the nearest neighbours (Å) after each atom.
Fractional positions:
1 Na 0.7897 0.7779 0.6427  5 As 3.06-3.24
2 Na 0.2103 0.2221 0.3573  5 As 3.06-3.24
3 Li 0.3506 0.3830 0.9158  4 As 2.55-2.59
4 Li 0.6494 0.6170 0.0842  4 As 2.55-2.59
5 Ge 0.0368 0.1175 0.8089  4 As 2.49-2.54
6 Ge 0.9632 0.8825 0.1911  4 As 2.49-2.54
7 As 0.4459 0.7511 0.3572  2 Ge 2.54, 1 Li 2.58
8 As 0.5541 0.2489 0.6428  2 Ge 2.54, 1 Li 2.58
9 As 0.8402 0.2406 0.0790  2 Ge 2.49-2.52, 3 Li 2.55-2.59
10 As 0.1598 0.7594 0.9210  2 Ge 2.49-2.52, 3 Li 2.55-2.59

SG = C2/m, No. 12
Total DFT energy (no corrections) = -3.754 eV/atom
Total moment = 0.00 μB per formula unit
E_form = -0.32 eV per atom

---

(4)
DFT (GGA-PBE) results for a geometry-optimized LiGe2AsO6 structure.

Cell lengths 5.5123, 6.8129, 6.8129 Å; angles 82.71, 77.89, 77.89 degrees
With the nearest neighbours (Å) after each atom.
Fractional positions:
1 Li 0.2500 0.8967 0.1033  4 O 2.06-2.16
2 Li 0.7500 0.1033 0.8967  4 O 2.06-2.16
3 Ge 0.2713 0.8132 0.6150  4 O 1.75-1.80
4 Ge 0.2287 0.3850 0.1868  4 O 1.75-1.80
5 Ge 0.7287 0.1868 0.3850  4 O 1.75-1.80
6 Ge 0.7713 0.6150 0.8132  4 O 1.75-1.80
7 As 0.2500 0.2544 0.7456  2 O 1.86
8 As 0.7500 0.7456 0.2544  2 O 1.86
9 O 0.1502 0.0052 0.7888  1 Ge 1.80, 1 As 1.86
10 O 0.3498 0.2112 0.9948  1 Ge 1.80, 1 As 1.86
11 O 0.8498 0.9948 0.2112  1 Ge 1.80, 1 As 1.86
12 O 0.6502 0.7888 0.0052  1 Ge 1.80, 1 As 1.86
13 O 0.3821 0.8966 0.3649  1 Ge 1.75
14 O 0.1179 0.6351 0.1034  1 Ge 1.75
15 O 0.6179 0.1034 0.6351  1 Ge 1.75
16 O 0.8821 0.3649 0.8966  1 Ge 1.75
17 O 0.0041 0.7034 0.6178  2 Ge 1.78-1.79
18 O 0.4959 0.3822 0.2966  2 Ge 1.78-1.79
19 O 0.9959 0.2966 0.3822  2 Ge 1.78-1.79
20 O 0.5041 0.6178 0.7034  2 Ge 1.78-1.79

Formation energy (no corrections) = -1.607 eV per atom
SG = C2/c, No. 15
Total DFT energy (no corrections) = -6.162 eV/atom
Total moment = 0.00 μB per formula unit

---

(5)
DFT (GGA-PBE) results for a geometry-optimized LiPmGeAs structure.

Cell lengths 4.9572, 4.9572, 4.9572 Å; angles 60.00, 60.00, 60.00 degrees
With the nearest neighbours (Å) after each atom.
Fractional positions:
1 As 0.7500 0.7500 0.7500  4 Li 3.04, 4 Pm 3.04
2 Li 0.5000 0.5000 0.5000  4 Ge 3.04, 4 As 3.04
3 Ge 0.2500 0.2500 0.2500  4 Li 3.04, 4 Pm 3.04
4 Pm 0.0000 0.0000 0.0000  4 Ge 3.04, 4 As 3.04

SG = F-43m, No. 216
Total DFT energy (no corrections) = -4.490 eV/atom
Total moment = 0.00 μB per formula unit
E_form = -0.51 eV per atom

---

(6)
DFT (GGA-PBE) results for a geometry-optimized LiGeAsPt structure.

Cell lengths 4.4985, 4.4985, 4.4985 Å; angles 60.00, 60.00, 60.00 degrees
With the nearest neighbours (Å) after each atom.
Fractional positions:
1 As 0.5000 0.5000 0.5000  4 Li 2.75, 4 Pt 2.75
2 Ge 0.0000 0.0000 0.0000  4 Pt 2.75, 4 Li 2.75
3 Pt 0.7500 0.7500 0.7500  4 Ge 2.75, 4 As 2.75
4 Li 0.2500 0.2500 0.2500  4 Ge 2.75, 4 As 2.75

SG = F-43m, No. 216
Total DFT energy (no corrections) = -4.656 eV/atom
Total moment = 0.00 μB per formula unit
E_form = -0.35 eV per atom

---

(7)
DFT (GGA-PBE) results for a geometry-optimized LiGe2AsPt structure.

Cell lengths 4.4779, 4.4557, 4.4779 Å; angles 90.00, 90.00, 90.00 degrees
With the nearest neighbours (Å) after each atom.
Fractional positions:
1 As 0.0000 0.5000 0.0000  2 Li 2.23
2 Ge 0.0000 0.0000 0.5000  2 Li 2.24
3 Ge 0.5000 0.0000 0.0000  2 Li 2.24
4 Pt 0.5000 0.5000 0.5000  8 Ge 3.16, 4 As 3.17
5 Li 0.0000 0.0000 0.0000  2 As 2.23, 4 Ge 2.24

SG = P4/mmm, No. 123
Total DFT energy (no corrections) = -3.857 eV/atom
Total moment = 0.00 μB per formula unit
E_form = 0.51 eV per atom

---

(8)
DFT (GGA-PBE) results for a geometry-optimized LiGe2AsS6 structure.

Cell lengths 6.7926, 8.2378, 8.2378 Å; angles 81.91, 76.70, 76.70 degrees
With the nearest neighbours (Å) after each atom.
Fractional positions:
1 Li 0.2500 0.8865 0.1135  6 S 2.48-2.75
2 Li 0.7500 0.1135 0.8865  6 S 2.48-2.75
3 Ge 0.2913 0.8026 0.6117  4 S 2.20-2.29
4 Ge 0.2087 0.3883 0.1974  4 S 2.20-2.29
5 Ge 0.7087 0.1974 0.3883  4 S 2.20-2.29
6 Ge 0.7913 0.6117 0.8026  4 S 2.20-2.29
7 As 0.2500 0.2423 0.7577  4 S 2.34-2.59
8 As 0.7500 0.7577 0.2423  4 S 2.34-2.59
9 S 0.1395 0.9877 0.8084  1 Ge 2.28, 1 As 2.34
10 S 0.3605 0.1916 0.0123  1 Ge 2.28, 1 As 2.34
11 S 0.8605 0.0123 0.1916  1 Ge 2.28, 1 As 2.34
12 S 0.6395 0.8084 0.9877  1 Ge 2.28, 1 As 2.34
13 S 0.3841 0.9250 0.3587  1 Ge 2.20
14 S 0.1159 0.6413 0.0750  1 Ge 2.20
15 S 0.6159 0.0750 0.6413  1 Ge 2.20
16 S 0.8841 0.3587 0.9250  1 Ge 2.20
17 S 0.0283 0.6870 0.5785  2 Ge 2.27-2.29
18 S 0.4717 0.4215 0.3130  2 Ge 2.27-2.29
19 S 0.9717 0.3130 0.4215  2 Ge 2.27-2.29
20 S 0.5283 0.5785 0.6870  2 Ge 2.27-2.29

Formation energy (no corrections) = -0.377 eV per atom
SG = C2/c, No. 15
Total DFT energy (no corrections) = -4.433 eV/atom
Total moment = 0.00 μB per formula unit

---

(9)
DFT (GGA-PBE) results for a geometry-optimized LiGe2AsSe6 structure.

Cell lengths 7.1960, 8.7001, 8.7001 Å; angles 81.46, 76.36, 76.36 degrees
With the nearest neighbours (Å) after each atom.
Fractional positions:
1 Li 0.2500 0.8773 0.1227  4 Se 2.59-2.72
2 Li 0.7500 0.1227 0.8773  4 Se 2.59-2.72
3 Ge 0.2925 0.8004 0.6103  4 Se 2.36-2.45
4 Ge 0.2075 0.3897 0.1996  4 Se 2.36-2.45
5 Ge 0.7075 0.1996 0.3897  4 Se 2.36-2.45
6 Ge 0.7925 0.6103 0.8004  4 Se 2.36-2.45
7 As 0.2500 0.2375 0.7625  4 Se 2.48-2.74
8 As 0.7500 0.7625 0.2375  4 Se 2.48-2.74
9 Se 0.1361 0.9831 0.8143  1 Ge 2.45, 1 As 2.48, 1 Li 2.72
10 Se 0.3639 0.1857 0.0169  1 Ge 2.45, 1 As 2.48, 1 Li 2.72
11 Se 0.8639 0.0169 0.1857  1 Ge 2.45, 1 As 2.48, 1 Li 2.72
12 Se 0.6361 0.8143 0.9831  1 Ge 2.45, 1 As 2.48, 1 Li 2.72
13 Se 0.3846 0.9328 0.3559  1 Ge 2.36, 1 Li 2.59
14 Se 0.1154 0.6441 0.0672  1 Ge 2.36, 1 Li 2.59
15 Se 0.6154 0.0672 0.6441  1 Ge 2.36, 1 Li 2.59
16 Se 0.8846 0.3559 0.9328  1 Ge 2.36, 1 Li 2.59
17 Se 0.0313 0.6846 0.5704  2 Ge 2.43-2.44
18 Se 0.4687 0.4296 0.3154  2 Ge 2.43-2.44
19 Se 0.9687 0.3154 0.4296  2 Ge 2.43-2.44
20 Se 0.5313 0.5704 0.6846  2 Ge 2.43-2.44

Formation energy (no corrections) = -0.319 eV per atom
SG = C2/c, No. 15
Total DFT energy (no corrections) = -3.989 eV/atom
Total moment = 0.00 μB per formula unit

---

(10)
DFT (GGA-PBE) results for a geometry-optimized LiSiGe2As4 structure.

Cell lengths 5.9715, 5.9715, 6.6401 Å; angles 114.16, 114.16, 95.15 degrees
With the nearest neighbours (Å) after each atom.
Fractional positions:
1 Li 0.0130 0.0130 0.0261  4 As 2.50-2.54
2 Si 0.4995 0.4995 0.9991  4 As 2.38-2.40
3 Ge 0.7565 0.2565 0.5130  4 As 2.53-2.54
4 Ge 0.2565 0.7565 0.5130  4 As 2.53-2.54
5 As 0.6228 0.6228 0.7516  1 Si 2.38, 1 Li 2.50, 2 Ge 2.54
6 As 0.3740 0.8491 0.2230  1 Si 2.40, 2 Ge 2.53, 1 Li 2.54
7 As 0.8491 0.3740 0.2230  1 Si 2.40, 2 Ge 2.53, 1 Li 2.54
8 As 0.1288 0.1288 0.7516  1 Si 2.38, 1 Li 2.50, 2 Ge 2.54

Formation energy (no corrections) = -0.111 eV per atom
SG = Fmm2, No. 42
Total DFT energy (no corrections) = -4.507 eV/atom
Total moment = 0.00 μB per formula unit

---

(11)
DFT (GGA-PBE) results for a geometry-optimized LiSnGe2As structure.

Cell lengths 5.2345, 4.9278, 5.2345 Å; angles 90.00, 90.00, 90.00 degrees
With the nearest neighbours (Å) after each atom.
Fractional positions:
1 As 0.5000 0.5000 0.5000  8 Ge 3.59, 4 Li 3.70
2 Ge 0.0000 0.0000 0.5000  2 Sn 2.62
3 Ge 0.5000 0.0000 0.0000  2 Sn 2.62
4 Sn 0.0000 0.0000 0.0000  2 Li 2.46, 4 Ge 2.62
5 Li 0.0000 0.5000 0.0000  2 Sn 2.46

SG = P4/mmm, No. 123
Total DFT energy (no corrections) = -3.240 eV/atom
Total moment = 0.00 μB per formula unit
E_form = 0.72 eV per atom

---

(12)
DFT (GGA-PBE) results for a geometry-optimized Li2GeTe4As structure.

Cell lengths 4.0973, 7.0954, 7.4101 Å; angles 108.59, 90.00, 90.00 degrees
With the nearest neighbours (Å) after each atom.
Fractional positions:
1 Li 0.5000 0.0000 0.5000  6 Te 2.98-2.99
2 Li 0.0000 0.5000 0.5000  6 Te 2.96-2.97
3 Ge 0.0000 0.0000 0.0000  6 Te 2.92-2.93
4 Te 0.5000 0.2491 0.2427  1 As 2.91, 2 Ge 2.92, 3 Li 2.97-2.98
5 Te 0.5000 0.7509 0.7573  1 As 2.91, 2 Ge 2.92, 3 Li 2.97-2.98
6 Te 0.0000 0.2566 0.7589  2 As 2.90, 1 Ge 2.93, 3 Li 2.96-2.99
7 Te 0.0000 0.7434 0.2411  2 As 2.90, 1 Ge 2.93, 3 Li 2.96-2.99
8 As 0.5000 0.5000 0.0000  6 Te 2.90-2.91

Formation energy (no corrections) = -0.359 eV per atom
SG = P2/m, No. 10
Total DFT energy (no corrections) = -3.566 eV/atom
Total moment = 0.00 μB per formula unit

---

Q: Among the records above, which one has the lowest total DFT energy (no corrections)?
A: LiGe2AsO6

---

Q: What is the total moment in the twelfth record?
A: 0.00 μB per formula unit

---

Q: Which formula does entry 9 have?
A: LiGe2AsSe6